5
Lattice="3.9103 -0.0319 -0.0073 -1.9482 4.1514 -0.0104 -1.9525 -1.0398 6.3885" Properties=species:S:1:pos:R:3 comment="LaBeZnIrS (PBE-GGA, optimized geometry)" energy_ev_per_atom=-5.31 raw_formation_energy_kj_per_mol_fu=-351 polymorph_energy_mev_per_atom=54 dos_at_fermi_per_ev_fu=1.269 pbc="T T T"
Be 0.4426 1.9231 1.7098
Zn -1.5234 3.4389 1.0278
Ir 2.3961 0.9229 0.8133
S 0.4400 2.2949 3.7246
La -1.5278 0.6894 5.1167